1.
Entry from Alexandria: SrLa2Cd2 at its PBEsol-relaxed geometry (meta-GGA SCAN).

energy = -1.255 Ha/atom
mass density = 6.36 g/cm³
energy of formation = -0.29 eV per atom
space group = No. 127

Lattice parameters (Å, degrees): 9.3304 9.3304 3.5414 90.00 90.00 90.00
Last column: nearest neighbours and their distance in Å.
Element x y z (fractional)
Sr  0.0000  0.0000  0.0000  2 Sr 3.54, 4 La 3.74, 8 Cd 3.86
Sr  0.5000  0.5000  0.0000  2 Sr 3.54, 4 La 3.74, 8 Cd 3.86
La  0.1165  0.3835  0.0000  1 La 3.07, 6 Cd 3.24-3.31
La  0.3835  0.8835  0.0000  1 La 3.07, 6 Cd 3.24-3.31
La  0.6165  0.1165  0.0000  1 La 3.07, 6 Cd 3.24-3.31
La  0.8835  0.6165  0.0000  1 La 3.07, 6 Cd 3.24-3.31
Cd  0.1775  0.6775  0.5000  6 La 3.24-3.31, 2 Cd 3.54
Cd  0.3225  0.1775  0.5000  6 La 3.24-3.31, 2 Cd 3.54
Cd  0.6775  0.8225  0.5000  6 La 3.24-3.31, 2 Cd 3.54
Cd  0.8225  0.3225  0.5000  6 La 3.24-3.31, 2 Cd 3.54

***

2.
Entry from Alexandria: Pr3Dy at its PBEsol-relaxed geometry (meta-GGA SCAN).

energy above the lowest structure with this stoichiometry = 0.31 kJ/mol of atoms
energy = -1.633 Ha/atom
mass density = 7.42 g/cm³
energy of formation = 0.02 eV per atom
space group = No. 139

Lattice parameters (Å, degrees): 5.0782 5.0782 10.1546 90.00 90.00 90.00
Last column: nearest neighbours and their distance in Å.
Element x y z (fractional)
Pr  0.0000  0.0000  0.0000  8 Pr 3.59, 4 Dy 3.59
Pr  0.0000  0.5000  0.2500  4 Dy 3.59, 8 Pr 3.59
Pr  0.0000  0.5000  0.7500  4 Dy 3.59, 8 Pr 3.59
Pr  0.5000  0.0000  0.2500  4 Dy 3.59, 8 Pr 3.59
Pr  0.5000  0.0000  0.7500  4 Dy 3.59, 8 Pr 3.59
Pr  0.5000  0.5000  0.5000  8 Pr 3.59, 4 Dy 3.59
Dy  0.0000  0.0000  0.5000  12 Pr 3.59
Dy  0.5000  0.5000  0.0000  12 Pr 3.59